Here is a relaxed TeAu2Br crystal from Alexandria. Energies are from PBEsol.

Summary:
energy = -2.933 eV per atom
E_form (uncorrected) = 378 meV/atom
ΔE to the lowest computed polymorph = 0.326 eV/atom

abc: 2.9055 5.4708 5.4708
angles: 90.00 90.00 90.00
With the nearest neighbours (Å) after each atom.
Element x y z (fractional)
Au: 0.0000 0.0000 0.5000  2 Au 2.91, 4 Br 3.10, 4 Te 3.10
Te: 0.5000 0.0000 0.0000  2 Te 2.91, 8 Au 3.10
Au: 0.0000 0.5000 0.0000  2 Au 2.91, 4 Br 3.10, 4 Te 3.10
Br: 0.5000 0.5000 0.5000  2 Br 2.91, 8 Au 3.10